<a>
Compound: BaGd2Cd
Source: Alexandria via LeMat-Bulk
Functional: PBE-GGA
Structure: relaxed

Volume   35.734 A^3/atom

a b c (Å): 3.8499 3.8499 9.6440
angles (deg): 90.00 90.00 90.00
Site moments in Bohr magnetons follow the coordinates.
Fractional positions:
Ba  0.5000  0.5000  0.5000  0.04
Gd  0.0000  0.0000  0.8158  7.21
Gd  0.0000  0.0000  0.1842  7.21
Cd  0.5000  0.5000  0.0000  0.00

<b>
Compound: BaGd2Cd
Source: Alexandria via LeMat-Bulk
Functional: PBE-GGA
Structure: relaxed

Volume   35.633 A^3/atom

a b c (Å): 3.6753 3.6753 12.3675
angles (deg): 81.45 81.45 60.00
Site moments in Bohr magnetons follow the coordinates.
Fractional positions:
Ba  0.0000  0.0000  0.0000  0.09
Cd  0.5000  0.5000  0.5000  0.00
Gd  0.0996  0.0996  0.7011  7.24
Gd  0.9004  0.9004  0.2989  7.24

Computed energies relative to the best structure, in eV/atom: <a> 0.000; <b> 0.187

<a>
Compound: Ba2CdGe2
Source: Alexandria via LeMat-Bulk
Functional: PBE-GGA
Structure: relaxed

Volume   34.036 A^3/atom

a b c (Å): 9.7723 9.7723 3.5641
angles (deg): 90.00 90.00 90.00
Fractional positions:
Ge  0.6609  0.8391  0.5000
Ge  0.8391  0.3391  0.5000
Ge  0.1609  0.6609  0.5000
Ge  0.3391  0.1609  0.5000
Ba  0.8597  0.6403  0.0000
Ba  0.3597  0.8597  0.0000
Ba  0.6403  0.1403  0.0000
Ba  0.1403  0.3597  0.0000
Cd  0.5000  0.5000  0.0000
Cd  0.0000  0.0000  0.0000

<b>
Compound: Ba2CdGe2
Source: Alexandria via LeMat-Bulk
Functional: PBE-GGA
Structure: relaxed

Volume   30.974 A^3/atom

a b c (Å): 5.0959 6.4005 10.6617
angles (deg): 85.12 76.17 66.54
Fractional positions:
Ge  0.0136  0.8677  0.1050
Ge  0.9864  0.1323  0.8950
Ge  0.8695  0.7134  0.5476
Ge  0.1305  0.2866  0.4524
Ba  0.3113  0.2717  0.1057
Ba  0.6887  0.7283  0.8943
Ba  0.4870  0.6978  0.3282
Ba  0.5130  0.3022  0.6718
Cd  0.7776  0.0936  0.3513
Cd  0.2224  0.9064  0.6487

Computed energies relative to the best structure, in eV/atom: <a> 0.466; <b> 0.000

<a>
Compound: Ba2Cd3Ge2
Source: Alexandria via LeMat-Bulk
Functional: PBE-GGA
Structure: relaxed

Volume   31.191 A^3/atom

a b c (Å): 4.5953 4.0677 11.8563
angles (deg): 99.88 90.00 90.00
Fractional positions:
Cd  0.5000  0.4370  0.8740
Cd  0.0000  0.0000  0.0000
Cd  0.5000  0.5630  0.1260
Ge  0.5000  0.2818  0.5635
Ge  0.5000  0.7182  0.4365
Ba  0.0000  0.1617  0.3234
Ba  0.0000  0.8383  0.6766

<b>
Compound: Ba2Cd3Ge2
Source: Alexandria via LeMat-Bulk
Functional: PBE-GGA
Structure: relaxed

Volume   28.918 A^3/atom

a b c (Å): 4.9614 6.3726 7.3378
angles (deg): 107.17 90.00 112.91
Fractional positions:
Cd  0.3964  0.7929  0.5731
Cd  0.5000  0.0000  0.0000
Cd  0.6036  0.2071  0.4269
Ge  0.8401  0.6802  0.7262
Ge  0.1599  0.3198  0.2738
Ba  0.1461  0.2923  0.7743
Ba  0.8539  0.7077  0.2257

Computed energies relative to the best structure, in eV/atom: <a> 0.020; <b> 0.000

<a>
Compound: BaCd4Ge2
Source: Alexandria via LeMat-Bulk
Functional: PBE-GGA
Structure: relaxed

Volume   25.879 A^3/atom

a b c (Å): 4.8813 4.8813 9.2204
angles (deg): 74.65 74.65 60.00
Fractional positions:
Ba  0.0000  0.0000  0.0000
Cd  0.4213  0.4213  0.7362
Cd  0.8587  0.8587  0.4240
Cd  0.1413  0.1413  0.5760
Cd  0.5787  0.5787  0.2638
Ge  0.2490  0.2490  0.2531
Ge  0.7510  0.7510  0.7469

<b>
Compound: BaCd4Ge2
Source: Alexandria via LeMat-Bulk
Functional: PBE-GGA
Structure: relaxed

Volume   24.752 A^3/atom

a b c (Å): 4.5861 4.5850 8.5529
angles (deg): 105.55 90.00 90.00
Fractional positions:
Cd  0.0000  0.3130  0.6260
Cd  0.5000  0.8177  0.6355
Cd  0.0000  0.6870  0.3740
Cd  0.5000  0.1823  0.3645
Ge  0.5000  0.4190  0.8379
Ge  0.5000  0.5810  0.1621
Ba  0.0000  0.0000  0.0000

Computed energies relative to the best structure, in eV/atom: <a> 0.084; <b> 0.000

<a>
Compound: BaCdGe3
Source: Alexandria via LeMat-Bulk
Functional: PBE-GGA
Structure: relaxed

Volume   29.708 A^3/atom

a b c (Å): 5.2960 5.2960 5.2960
angles (deg): 90.00 90.00 90.00
Fractional positions:
Ge  0.5000  0.0000  0.0000
Ge  0.0000  0.5000  0.0000
Ge  0.0000  0.0000  0.5000
Ba  0.5000  0.5000  0.5000
Cd  0.0000  0.0000  0.0000

<b>
Compound: BaCdGe3
Source: Alexandria via LeMat-Bulk
Functional: PBE-GGA
Structure: relaxed

Volume   41.387 A^3/atom

a b c (Å): 5.9148 5.9148 5.9148
angles (deg): 90.00 90.00 90.00
Fractional positions:
Ge  0.0000  0.0000  0.5000
Ge  0.5000  0.0000  0.0000
Ge  0.0000  0.5000  0.0000
Ba  0.0000  0.0000  0.0000
Cd  0.5000  0.5000  0.5000

Computed energies relative to the best structure, in eV/atom: <a> 0.000; <b> 1.035

<a>
Compound: Ba2CdH
Source: Alexandria via LeMat-Bulk
Functional: PBE-GGA
Structure: relaxed

Volume   34.435 A^3/atom

a b c (Å): 5.4509 5.4509 9.2716
angles (deg): 90.03 90.03 90.00
Fractional positions:
Cd  0.7497  0.7497  0.2377
Cd  0.2503  0.2503  0.7623
Ba  0.7502  0.7502  0.8570
Ba  0.7500  0.2500  0.5000
Ba  0.2500  0.7500  0.5000
Ba  0.2498  0.2498  0.1430
H  0.2500  0.2500  0.4407
H  0.7500  0.7500  0.5593

<b>
Compound: Ba2CdH
Source: Alexandria via LeMat-Bulk
Functional: PBE-GGA
Structure: relaxed

Volume   34.468 A^3/atom

a b c (Å): 5.7987 5.7987 5.7987
angles (deg): 60.00 60.00 60.00
Fractional positions:
Ba  0.2500  0.2500  0.2500
Ba  0.7500  0.7500  0.7500
H  0.0000  0.0000  0.0000
Cd  0.5000  0.5000  0.5000

Computed energies relative to the best structure, in eV/atom: <a> 0.000; <b> 0.290